# 1
DFT (PBE-GGA) results for an optimized crystal structure of ZrRhCl.

Output
The density of states at the Fermi level comes out at 0.543 states/eV per atom. The value obtained for the size of the total moment is 0.00 Bohr magnetons per cell. For the electronic total energy, the calculation gives -6.393 eV per atom.

extended XYZ file:
```
3
Lattice="4.4159 0.0000 0.0000 -2.2080 3.8243 0.0000 0.0000 0.0000 3.1366" Properties=species:S:1:pos:R:3 pbc="T T T"
Zr 0.0000 0.0000 0.0000
Rh 0.0000 2.5495 1.5705
Cl 2.2080 1.2748 3.1318
```


# 2
DFT (PBE-GGA) results for an optimized crystal structure of ZrRhCl2.

Output
The density of states at the Fermi level comes out at 0.714 states/eV per atom. The value obtained for the size of the total moment is 0.00 Bohr magnetons per cell. For the electronic total energy, the calculation gives -5.462 eV per atom.

extended XYZ file:
```
4
Lattice="-1.6127 2.4266 5.7697 1.6127 -2.4266 5.7697 1.6127 2.4266 -5.7697" Properties=species:S:1:pos:R:3 pbc="T T T"
Zr 0.0000 0.0000 0.0000
Rh 0.0000 2.4266 3.8888
Cl 1.6127 0.0000 2.1935
Cl 0.0000 0.0000 5.7335
```


# 3
DFT (PBE-GGA) results for an optimized crystal structure of ZrRhCl2.

Output
The density of states at the Fermi level comes out at 1.095 states/eV per atom. The value obtained for the size of the total moment is 1.22 Bohr magnetons per cell. For the electronic total energy, the calculation gives -5.072 eV per atom.

extended XYZ file:
```
4
Lattice="1.5258 -2.9676 0.0000 1.5258 2.9676 0.0000 0.0000 0.0000 8.6748" Properties=species:S:1:pos:R:3 pbc="T T T"
Zr 0.0000 0.0000 0.0000
Rh 0.0000 0.0000 4.3374
Cl 1.5258 0.0000 2.1212
Cl 1.5258 0.0000 6.5536
```


# 4
DFT (PBE-GGA) results for an optimized crystal structure of ZrRhCl3.

Output
The density of states at the Fermi level comes out at 1.063 states/eV per atom. The value obtained for the size of the total moment is 2.27 Bohr magnetons per cell. For the electronic total energy, the calculation gives -4.247 eV per atom.

extended XYZ file:
```
5
Lattice="4.8008 0.0000 0.0000 0.0000 4.8008 0.0000 0.0000 0.0000 4.8008" Properties=species:S:1:pos:R:3 pbc="T T T"
Zr 0.0000 0.0000 0.0000
Rh 2.4004 2.4004 2.4004
Cl 0.0000 2.4004 2.4004
Cl 2.4004 0.0000 2.4004
Cl 2.4004 2.4004 0.0000
```


# 5
DFT (PBE-GGA) results for an optimized crystal structure of ZrRhCl2.

Output
The density of states at the Fermi level comes out at 0.802 states/eV per atom. The value obtained for the size of the total moment is 0.00 Bohr magnetons per cell. For the electronic total energy, the calculation gives -4.951 eV per atom.

extended XYZ file:
```
8
Lattice="-2.9160 2.9160 5.1186 2.9160 -2.9160 5.1186 2.9160 2.9160 -5.1186" Properties=species:S:1:pos:R:3 pbc="T T T"
Zr 0.0000 0.0000 0.0000
Zr 0.0000 2.9160 2.5593
Rh 2.9160 0.0000 2.5593
Rh 0.0000 0.0000 5.1186
Cl 1.4580 -1.3774 3.8389
Cl 1.5386 1.4580 1.2796
Cl 1.4580 4.2934 -1.2796
Cl 1.3774 1.4580 6.3982
```


# 6
DFT (PBE-GGA) results for an optimized crystal structure of ZrRhCl.

Output
The density of states at the Fermi level comes out at 1.504 states/eV per atom. The value obtained for the size of the total moment is 0.00 Bohr magnetons per cell. For the electronic total energy, the calculation gives -6.005 eV per atom.

extended XYZ file:
```
3
Lattice="0.0000 3.1567 3.1567 3.1567 0.0000 3.1567 3.1567 3.1567 0.0000" Properties=species:S:1:pos:R:3 pbc="T T T"
Zr 0.0000 0.0000 0.0000
Rh 4.7350 4.7350 4.7350
Cl 3.1567 3.1567 3.1567
```